# Nd2Dy2O5 (GGA-PBE, optimized geometry)
# **E_tot**: -0.54990 Ry per atom
# **Relative energy among the computed polymorphs**: 55 meV per atom
# **Calculated density**: 7.60 g/cm3
data_Nd2Dy2O5
_cell_length_a 8.939
_cell_length_b 4.118
_cell_length_c 4.118
_cell_angle_alpha 90.00
_cell_angle_beta 90.00
_cell_angle_gamma 90.00
_space_group_name_H-M_alt 'P 1'
_space_group_IT_number 1
_space_group_name_Hall 'P 1'
loop_
_atom_site_label
_atom_site_type_symbol
_atom_site_fract_x
_atom_site_fract_y
_atom_site_fract_z
_atom_site_occupancy
Nd1 Nd 0.241 0.500 0.500 1
Nd2 Nd 0.759 0.500 0.500 1
O1 O 0.500 0.500 0.500 1
O2 O 0.858 0.500 0.000 1
O3 O 0.142 0.500 0.000 1
O4 O 0.142 0.000 0.500 1
O5 O 0.858 0.000 0.500 1
Dy1 Dy 0.000 0.000 0.000 1
Dy2 Dy 0.500 0.000 0.000 1

=====

# NdDyPO (GGA-PBE, optimized geometry)
# **E_tot**: -0.50338 Ry per atom
# **Relative energy among the computed polymorphs**: 85 meV per atom
# **Calculated density**: 6.93 g/cm3
data_NdDyPO
_cell_length_a 4.382
_cell_length_b 4.382
_cell_length_c 8.826
_cell_angle_alpha 90.00
_cell_angle_beta 90.00
_cell_angle_gamma 90.00
_space_group_name_H-M_alt 'P 1'
_space_group_IT_number 1
_space_group_name_Hall 'P 1'
loop_
_atom_site_label
_atom_site_type_symbol
_atom_site_fract_x
_atom_site_fract_y
_atom_site_fract_z
_atom_site_occupancy
Dy1 Dy 0.500 0.500 0.500 1
Dy2 Dy 0.000 0.000 0.500 1
O1 O 0.500 0.500 0.000 1
O2 O 0.000 0.000 0.000 1
P1 P 0.500 0.000 0.312 1
P2 P 0.000 0.500 0.688 1
Nd1 Nd 0.000 0.500 0.112 1
Nd2 Nd 0.500 0.000 0.888 1

=====

# NdDyPO (GGA-PBE, optimized geometry)
# **E_tot**: -0.50962 Ry per atom
# **Relative energy among the computed polymorphs**: 0 meV per atom
# **Calculated density**: 6.14 g/cm3
data_NdDyPO
_cell_length_a 4.306
_cell_length_b 7.442
_cell_length_c 5.972
_cell_angle_alpha 90.00
_cell_angle_beta 90.00
_cell_angle_gamma 90.00
_space_group_name_H-M_alt 'P 1'
_space_group_IT_number 1
_space_group_name_Hall 'P 1'
loop_
_atom_site_label
_atom_site_type_symbol
_atom_site_fract_x
_atom_site_fract_y
_atom_site_fract_z
_atom_site_occupancy
Dy1 Dy 0.000 0.118 0.507 1
Dy2 Dy 0.000 0.882 0.007 1
O1 O 0.000 0.162 0.875 1
O2 O 0.000 0.838 0.375 1
Nd1 Nd 0.500 0.698 0.439 1
Nd2 Nd 0.500 0.302 0.939 1
P1 P 0.500 0.322 0.433 1
P2 P 0.500 0.678 0.933 1

=====

# NdDyPO (GGA-PBE, optimized geometry)
# **E_tot**: -0.50737 Ry per atom
# **Relative energy among the computed polymorphs**: 31 meV per atom
# **Calculated density**: 6.52 g/cm3
data_NdDyPO
_cell_length_a 4.213
_cell_length_b 7.849
_cell_length_c 5.452
_cell_angle_alpha 90.00
_cell_angle_beta 90.00
_cell_angle_gamma 90.00
_space_group_name_H-M_alt 'P 1'
_space_group_IT_number 1
_space_group_name_Hall 'P 1'
loop_
_atom_site_label
_atom_site_type_symbol
_atom_site_fract_x
_atom_site_fract_y
_atom_site_fract_z
_atom_site_occupancy
Nd1 Nd 0.500 0.866 0.942 1
Nd2 Nd 0.500 0.134 0.442 1
Dy1 Dy 0.000 0.296 0.939 1
Dy2 Dy 0.000 0.704 0.439 1
O1 O 0.500 0.826 0.435 1
O2 O 0.500 0.174 0.935 1
P1 P 0.000 0.355 0.439 1
P2 P 0.000 0.645 0.939 1

=====

# NdDyPO (GGA-PBE, optimized geometry)
# **E_tot**: -0.49515 Ry per atom
# **Relative energy among the computed polymorphs**: 197 meV per atom
# **Calculated density**: 7.12 g/cm3
data_NdDyPO
_cell_length_a 4.307
_cell_length_b 4.307
_cell_length_c 8.889
_cell_angle_alpha 90.00
_cell_angle_beta 90.00
_cell_angle_gamma 90.00
_space_group_name_H-M_alt 'P 1'
_space_group_IT_number 1
_space_group_name_Hall 'P 1'
loop_
_atom_site_label
_atom_site_type_symbol
_atom_site_fract_x
_atom_site_fract_y
_atom_site_fract_z
_atom_site_occupancy
P1 P 0.250 0.250 0.711 1
P2 P 0.750 0.750 0.289 1
Dy1 Dy 0.750 0.750 0.902 1
Dy2 Dy 0.250 0.250 0.098 1
O1 O 0.250 0.750 0.000 1
O2 O 0.750 0.250 0.000 1
Nd1 Nd 0.750 0.250 0.500 1
Nd2 Nd 0.250 0.750 0.500 1

=====

# NdDySO2 (GGA-PBE, optimized geometry)
# **E_tot**: -0.57401 Ry per atom
# **Calculated density**: 7.08 g/cm3
data_NdDySO2
_cell_length_a 3.876
_cell_length_b 3.876
_cell_length_c 6.686
_cell_angle_alpha 90.00
_cell_angle_beta 90.00
_cell_angle_gamma 120.00
_space_group_name_H-M_alt 'P 1'
_space_group_IT_number 1
_space_group_name_Hall 'P 1'
loop_
_atom_site_label
_atom_site_type_symbol
_atom_site_fract_x
_atom_site_fract_y
_atom_site_fract_z
_atom_site_occupancy
O1 O 0.667 0.333 0.636 1
O2 O 0.333 0.667 0.378 1
Dy1 Dy 0.333 0.667 0.716 1
Nd1 Nd 0.667 0.333 0.278 1
S1 S 0.000 0.000 0.992 1

=====

# Nd2DySbO6 (GGA-PBE, optimized geometry)
# **E_tot**: -0.53599 Ry per atom
# **Calculated density**: 7.44 g/cm3
data_Nd2DySbO6
_cell_length_a 5.316
_cell_length_b 5.368
_cell_length_c 6.162
_cell_angle_alpha 107.30
_cell_angle_beta 111.90
_cell_angle_gamma 98.13
_space_group_name_H-M_alt 'P 1'
_space_group_IT_number 1
_space_group_name_Hall 'P 1'
loop_
_atom_site_label
_atom_site_type_symbol
_atom_site_fract_x
_atom_site_fract_y
_atom_site_fract_z
_atom_site_occupancy
Sb1 Sb 0.500 0.500 0.000 1
O1 O 0.185 0.146 0.750 1
O2 O 0.815 0.854 0.250 1
O3 O 0.818 0.332 0.139 1
O4 O 0.182 0.668 0.861 1
O5 O 0.619 0.599 0.754 1
O6 O 0.381 0.401 0.246 1
Nd1 Nd 0.228 0.729 0.495 1
Nd2 Nd 0.772 0.271 0.505 1
Dy1 Dy 0.000 0.000 0.000 1

=====

# NdDyTeO2 (GGA-PBE, optimized geometry)
# **E_tot**: -0.54409 Ry per atom
# **Calculated density**: 7.72 g/cm3
data_NdDyTeO2
_cell_length_a 6.929
_cell_length_b 6.929
_cell_length_c 6.929
_cell_angle_alpha 146.61
_cell_angle_beta 146.61
_cell_angle_gamma 47.94
_space_group_name_H-M_alt 'P 1'
_space_group_IT_number 1
_space_group_name_Hall 'P 1'
loop_
_atom_site_label
_atom_site_type_symbol
_atom_site_fract_x
_atom_site_fract_y
_atom_site_fract_z
_atom_site_occupancy
O1 O 0.254 0.754 0.500 1
O2 O 0.754 0.254 0.500 1
Dy1 Dy 0.336 0.336 0.000 1
Te1 Te 0.998 0.998 0.000 1
Nd1 Nd 0.657 0.657 0.000 1

=====

# NdDyOs (GGA-PBE, optimized geometry)
# **E_tot**: -0.51583 Ry per atom
# **E_form**: -0.155 eV/atom
# **Calculated density**: 11.07 g/cm3
data_NdDyOs
_cell_length_a 7.663
_cell_length_b 7.663
_cell_length_c 4.398
_cell_angle_alpha 90.00
_cell_angle_beta 90.00
_cell_angle_gamma 120.00
_space_group_name_H-M_alt 'P 1'
_space_group_IT_number 1
_space_group_name_Hall 'P 1'
loop_
_atom_site_label
_atom_site_type_symbol
_atom_site_fract_x
_atom_site_fract_y
_atom_site_fract_z
_atom_site_occupancy
Nd1 Nd 0.588 0.000 0.500 1
Nd2 Nd 0.000 0.588 0.500 1
Nd3 Nd 0.412 0.412 0.500 1
Os1 Os 0.333 0.667 0.000 1
Os2 Os 0.000 0.000 0.500 1
Os3 Os 0.667 0.333 0.000 1
Dy1 Dy 0.255 0.000 0.000 1
Dy2 Dy 0.000 0.255 0.000 1
Dy3 Dy 0.745 0.745 0.000 1

=====

# NdDy2Tm3OsS2 (GGA-PBE, optimized geometry)
# **E_tot**: -0.44329 Ry per atom
# **Calculated density**: 9.70 g/cm3
data_NdDy2Tm3OsS2
_cell_length_a 3.976
_cell_length_b 7.780
_cell_length_c 7.780
_cell_angle_alpha 118.95
_cell_angle_beta 90.00
_cell_angle_gamma 90.00
_space_group_name_H-M_alt 'P 1'
_space_group_IT_number 1
_space_group_name_Hall 'P 1'
loop_
_atom_site_label
_atom_site_type_symbol
_atom_site_fract_x
_atom_site_fract_y
_atom_site_fract_z
_atom_site_occupancy
Dy1 Dy 0.500 0.403 0.997 1
Dy2 Dy 0.500 0.997 0.403 1
Tm1 Tm 0.000 0.254 0.254 1
Tm2 Tm 0.000 0.997 0.753 1
Tm3 Tm 0.000 0.753 0.997 1
S1 S 0.000 0.667 0.329 1
S2 S 0.000 0.329 0.667 1
Os1 Os 0.500 0.017 0.017 1
Nd1 Nd 0.500 0.583 0.583 1

=====

# NdDy2Tm3OsSe2 (GGA-PBE, optimized geometry)
# **E_tot**: -0.43330 Ry per atom
# **Calculated density**: 9.90 g/cm3
data_NdDy2Tm3OsSe2
_cell_length_a 3.994
_cell_length_b 7.975
_cell_length_c 7.975
_cell_angle_alpha 118.96
_cell_angle_beta 90.00
_cell_angle_gamma 90.00
_space_group_name_H-M_alt 'P 1'
_space_group_IT_number 1
_space_group_name_Hall 'P 1'
loop_
_atom_site_label
_atom_site_type_symbol
_atom_site_fract_x
_atom_site_fract_y
_atom_site_fract_z
_atom_site_occupancy
Tm1 Tm 0.500 0.996 0.758 1
Tm2 Tm 0.500 0.248 0.248 1
Tm3 Tm 0.500 0.758 0.996 1
Os1 Os 0.000 0.018 0.018 1
Dy1 Dy 0.000 0.398 0.998 1
Dy2 Dy 0.000 0.998 0.398 1
Nd1 Nd 0.000 0.588 0.588 1
Se1 Se 0.500 0.328 0.667 1
Se2 Se 0.500 0.667 0.328 1

=====

# NdDySi2Os (GGA-PBE, optimized geometry)
# **E_tot**: -0.51682 Ry per atom
# **Relative energy among the computed polymorphs**: 0 meV per atom
# **Calculated density**: 8.93 g/cm3
data_NdDySi2Os
_cell_length_a 5.811
_cell_length_b 5.811
_cell_length_c 10.208
_cell_angle_alpha 116.82
_cell_angle_beta 116.82
_cell_angle_gamma 43.04
_space_group_name_H-M_alt 'P 1'
_space_group_IT_number 1
_space_group_name_Hall 'P 1'
loop_
_atom_site_label
_atom_site_type_symbol
_atom_site_fract_x
_atom_site_fract_y
_atom_site_fract_z
_atom_site_occupancy
Nd1 Nd 0.190 0.190 0.609 1
Nd2 Nd 0.810 0.810 0.391 1
Os1 Os 0.270 0.270 0.123 1
Os2 Os 0.730 0.730 0.877 1
Si1 Si 0.502 0.502 0.630 1
Si2 Si 0.647 0.647 0.061 1
Si3 Si 0.498 0.498 0.370 1
Si4 Si 0.353 0.353 0.939 1
Dy1 Dy 0.996 0.996 0.825 1
Dy2 Dy 0.004 0.004 0.175 1

=====

Q: The highest E_tot belongs to which entry?
A: NdDy2Tm3OsSe2

=====

Q: Look up the calculated density of the eighth one.
A: 7.72 g/cm3